# ThInAgPd | the Alexandria database | PBE | relaxed
# **Mass density**: 10.50 Mg/m³
# **Crystal system**: cubic
# **ΔE_f**: -183 kJ/mol of formula units
# **Calculated total energy**: -5.024 eV/atom
# **SG**: F-43m (216)
# **DOS at the Fermi energy**: 3.01 states/eV per cell
data_ThInAgPd
_chemical_formula_sum 'Th1 In1 Ag1 Pd1'
_symmetry_space_group_name_H-M 'P 1'
_symmetry_Int_Tables_number 1
_cell_length_a 5.007
_cell_length_b 5.007
_cell_length_c 5.007
_cell_angle_alpha 60.00
_cell_angle_beta 60.00
_cell_angle_gamma 60.00
loop_
_symmetry_equiv_pos_as_xyz
'x,y,z'
loop_
_atom_site_label
_atom_site_type_symbol
_atom_site_fract_x
_atom_site_fract_y
_atom_site_fract_z
_atom_site_occupancy
Pd1 Pd 0.750 0.750 0.750 1
Ag1 Ag 0.250 0.250 0.250 1
Th1 Th 0.000 0.000 0.000 1
In1 In 0.500 0.500 0.500 1